# MnAl2GaO6 | Alexandria | PBE+U | relaxed
# Density of states at the Fermi level = 0.0 states/eV/cell
# E = -69.924 eV per cell
data_MnAl2GaO6
_chemical_formula_sum 'Mn1 Al2 Ga1 O6'
_cell_length_a 4.913
_cell_length_b 4.915
_cell_length_c 5.276
_cell_angle_alpha 62.28
_cell_angle_beta 62.27
_cell_angle_gamma 60.22
_symmetry_space_group_name_H-M 'P 1'
_symmetry_Int_Tables_number 1
_symmetry_space_group_name_Hall 'P 1'
loop_
_atom_site_label
_atom_site_type_symbol
_atom_site_fract_x
_atom_site_fract_y
_atom_site_fract_z
Mn1 Mn 0.000 0.000 0.000
Al1 Al 0.203 0.202 0.390
Al2 Al 0.697 0.694 0.911
Ga1 Ga 0.491 0.490 0.528
O1 O 0.081 0.805 0.700
O2 O 0.306 0.581 0.199
O3 O 0.414 0.078 0.701
O4 O 0.586 0.911 0.200
O5 O 0.806 0.412 0.699
O6 O 0.915 0.301 0.198